Here is Sm2SiAu after structural relaxation from Alexandria via LeMat-Bulk. Energies are from PBE.

## Properties
Calculated total energy, eV/atom: -5.27

abc: 4.3160 5.9947 8.2745
angles: 111.23 90.00 90.00
Positions (direct):
Sm 0.2500 0.7807 0.0690
Sm 0.2500 0.7853 0.5745
Sm 0.7500 0.2147 0.4255
Sm 0.7500 0.2193 0.9310
Si 0.2500 0.3338 0.7094
Si 0.7500 0.6662 0.2906
Au 0.2500 0.3502 0.2125
Au 0.7500 0.6498 0.7875